No. 1
This record from Alexandria via LeMat-Bulk describes an optimized crystal structure of YZn2Co2Si. The functional is PBE-GGA. Values from VASP.

## Properties
The density of states at the Fermi level is 0.450 states/eV/atom. Its symmetry is No. 123.

```
&SYSTEM
  ibrav = 0, nat = 6, ntyp = 4
/
ATOMIC_SPECIES
Si 28.09 Si.upf
Co 58.93 Co.upf
Zn 65.41 Zn.upf
Y 88.91 Y.upf
CELL_PARAMETERS angstrom
-3.446 -1.331 -2.053
-0.466 -3.125 2.807
-3.162 3.312 3.162
ATOMIC_POSITIONS angstrom
Si 0.000 0.000 0.000
Co -1.723 -0.665 -1.026
Co -0.233 -1.562 1.404
Zn -2.797 -1.347 1.218
Y -1.581 1.656 1.581
Zn -4.277 0.204 2.698
```

***

No. 2
This record from Alexandria via LeMat-Bulk describes an optimized crystal structure of TbBi3S6. The functional is PBE-GGA. Values from VASP.

## Properties
Its symmetry is No. 11.

```
&SYSTEM
  ibrav = 0, nat = 20, ntyp = 3
/
ATOMIC_SPECIES
S 32.06 S.upf
Bi 208.98 Bi.upf
Tb 158.93 Tb.upf
CELL_PARAMETERS angstrom
3.986 0.000 0.000
0.000 11.644 0.364
0.000 -3.535 11.085
ATOMIC_POSITIONS angstrom
S 2.990 -0.449 5.151
Bi 0.997 6.650 10.376
S 2.990 3.208 6.984
S 0.997 4.902 4.464
Bi 0.997 1.672 5.849
S 0.997 3.609 10.278
S 2.990 6.797 8.611
S 2.990 4.501 1.170
S 0.997 1.312 2.838
S 2.990 10.450 1.639
S 0.997 0.133 8.024
S 2.990 7.977 3.425
Tb 2.990 -1.985 7.617
S 0.997 8.559 6.297
S 0.997 -2.340 9.810
Bi 2.990 6.437 5.600
Tb 0.997 10.094 3.832
Bi 2.990 1.459 1.073
Bi 0.997 6.087 2.046
Bi 2.990 2.023 9.403
```

***

No. 3
This record from Alexandria via LeMat-Bulk describes an optimized crystal structure of Pu2InSb3Rh4. The functional is PBE-GGA. Values from VASP.

## Properties
The density of states at the Fermi level is 2.988 states/eV/atom. Its symmetry is No. 115.

```
&SYSTEM
  ibrav = 0, nat = 10, ntyp = 4
/
ATOMIC_SPECIES
Sb 121.76 Sb.upf
Pu 244.00 Pu.upf
In 114.82 In.upf
Rh 102.91 Rh.upf
CELL_PARAMETERS angstrom
-3.063 -0.055 -3.064
0.633 -4.250 -0.557
-7.813 -2.192 7.849
ATOMIC_POSITIONS angstrom
Sb -0.720 -2.416 0.763
Pu -5.535 -3.767 5.600
In -5.121 -3.248 2.114
Rh -1.215 -2.152 -1.811
Rh 0.000 0.000 0.000
Sb -3.906 -1.096 3.924
Sb -8.308 -1.928 5.275
Rh -2.483 -2.910 2.534
Pu -3.493 -0.577 0.438
Rh -6.545 -1.434 3.504
```

***

no.,magnetic moment (μB per formula unit),uncorrected formation energy (eV/f.u.)
1,1.13,-1.22
2,0.00,-7.79
3,10.85,-5.33